Zr2FePtC | Alexandria | PBE | optimized geometry; density of states at the Fermi level = 3.913 states/eV per cell; formation energy = -3.01 eV/f.u.; M_tot = 0.218 μB per atom
1.0
4.592 0.000 0.000
0.000 4.592 0.000
0.000 0.000 3.699
Zr Fe Pt C
2 1 1 1
Direct
0.000 0.500 0.000
0.500 0.000 0.000
0.000 0.000 0.500
0.500 0.500 0.500
0.000 0.000 0.000